Here is a geometry-optimized UNi2H structure from Alexandria. Energies are from PBE.

Cell: 4.399 2.852 4.528 Å, 90.00 119.06 90.00°
Site moments in Bohr magnetons follow the coordinates.
Positions (direct):
1 Ni 0.950 0.750 0.899  -0.12
2 Ni 0.550 0.750 0.101  -0.12
3 U 0.250 0.250 0.500  1.20
4 H 0.750 0.750 0.500  -0.01

Output
The calculation puts the energy above the most stable polymorph in this dataset at 0.0 meV per atom.

***

Here is a geometry-optimized UNi6H12 structure from Alexandria. Energies are from PBE.

Cell: 5.608 5.608 5.608 Å, 110.27 110.27 110.27°
Site moments in Bohr magnetons follow the coordinates.
Positions (direct):
1 Ni 0.176 0.282 0.613  -0.04
2 H 0.171 0.462 0.434  0.00
3 H 0.337 0.830 0.008  0.00
4 H 0.830 0.008 0.337  0.00
5 H 0.566 0.829 0.538  0.00
6 H 0.008 0.337 0.830  0.00
7 H 0.829 0.538 0.566  0.00
8 H 0.663 0.170 0.992  0.00
9 Ni 0.613 0.176 0.282  -0.04
10 Ni 0.824 0.718 0.387  -0.04
11 H 0.170 0.992 0.663  0.00
12 H 0.992 0.663 0.170  0.00
13 Ni 0.387 0.824 0.718  -0.04
14 H 0.538 0.566 0.829  0.00
15 Ni 0.718 0.387 0.824  -0.04
16 H 0.462 0.434 0.171  0.00
17 Ni 0.282 0.613 0.176  -0.04
18 H 0.434 0.171 0.462  0.00
19 U 0.000 0.000 0.000  1.84

Output
The calculation puts the energy above the most stable polymorph in this dataset at 0.0 meV per atom.

***

Here is a geometry-optimized UNi2H8 structure from Alexandria. Energies are from PBE.

Cell: 4.028 4.028 5.828 Å, 110.21 110.21 90.00°
Site moments in Bohr magnetons follow the coordinates.
Positions (direct):
1 H 0.616 0.616 0.681  0.00
2 H 0.384 0.935 0.319  0.00
3 H 0.065 0.065 0.681  0.00
4 H 0.935 0.935 0.319  0.00
5 H 0.065 0.616 0.681  0.00
6 H 0.616 0.065 0.681  0.00
7 Ni 0.250 0.750 0.500  0.07
8 Ni 0.750 0.250 0.500  0.07
9 U 0.500 0.500 0.000  2.56
10 H 0.384 0.384 0.319  0.00
11 H 0.935 0.384 0.319  0.00

Output
The total energy is -4.38 eV per atom.

***

Here is a geometry-optimized UNi4H8 structure from Alexandria. Energies are from PBE.

Cell: 5.214 5.214 5.978 Å, 64.14 64.14 60.00°
Site moments in Bohr magnetons follow the coordinates.
Positions (direct):
1 Ni 0.000 0.000 0.000  0.14
2 H 0.216 0.216 0.836  0.00
3 U 0.500 0.500 0.500  2.83
4 H 0.216 0.731 0.836  0.00
5 H 0.276 0.276 0.173  0.00
6 Ni 0.000 0.500 0.000  0.01
7 Ni 0.500 0.500 0.000  0.01
8 H 0.784 0.784 0.164  0.00
9 H 0.731 0.216 0.836  0.00
10 H 0.724 0.724 0.827  0.00
11 Ni 0.500 0.000 0.000  0.01
12 H 0.269 0.784 0.164  0.00
13 H 0.784 0.269 0.164  0.00

Output
The total energy is -4.64 eV per atom.

***

Here is a geometry-optimized UNi6H12 structure from Alexandria. Energies are from PBE.

Cell: 5.339 5.339 5.339 Å, 106.18 106.18 106.18°
Site moments in Bohr magnetons follow the coordinates.
Positions (direct):
1 H 0.560 0.560 0.806  0.00
2 H 0.440 0.440 0.194  0.00
3 H 0.560 0.806 0.560  0.00
4 Ni 0.775 0.379 0.775  0.00
5 H 0.129 0.871 0.500  0.00
6 Ni 0.775 0.775 0.379  0.00
7 H 0.806 0.560 0.560  0.00
8 H 0.440 0.194 0.440  0.00
9 H 0.129 0.500 0.871  0.00
10 H 0.500 0.129 0.871  0.00
11 H 0.871 0.500 0.129  0.00
12 Ni 0.379 0.775 0.775  0.00
13 Ni 0.225 0.621 0.225  0.00
14 H 0.500 0.871 0.129  0.00
15 H 0.194 0.440 0.440  0.00
16 Ni 0.225 0.225 0.621  0.00
17 U 0.000 0.000 0.000  2.20
18 H 0.871 0.129 0.500  0.00
19 Ni 0.621 0.225 0.225  0.00

Output
The calculation puts the energy above the most stable polymorph in this dataset at 70.8 meV per atom.

***

Here is a geometry-optimized UNi2H6 structure from Alexandria. Energies are from PBE.

Cell: 4.133 4.348 4.348 Å, 120.00 90.00 90.00°
Site moments in Bohr magnetons follow the coordinates.
Positions (direct):
1 U 0.000 0.000 0.000  2.28
2 Ni 0.500 0.667 0.333  0.03
3 H 0.239 0.500 0.000  0.00
4 H 0.239 0.000 0.500  0.00
5 Ni 0.500 0.333 0.667  0.03
6 H 0.239 0.500 0.500  0.00
7 H 0.761 0.000 0.500  0.00
8 H 0.761 0.500 0.000  0.00
9 H 0.761 0.500 0.500  0.00

Output
The total energy is -4.98 eV per atom.

***

Here is a geometry-optimized V2NiH4 structure from Alexandria. Energies are from PBE.

Cell: 5.282 5.282 5.274 Å, 119.97 120.01 90.09°
Positions (direct):
1 V 0.125 0.375 0.750
2 H 0.383 0.127 0.255
3 Ni 0.251 0.750 0.500
4 H 0.377 0.133 0.755
5 H 0.873 0.617 0.745
6 Ni 0.999 0.000 0.000
7 V 0.625 0.375 0.750
8 H 0.378 0.622 0.245
9 V 0.625 0.875 0.250
10 V 0.625 0.375 0.250
11 H 0.872 0.128 0.255
12 H 0.378 0.622 0.755
13 H 0.872 0.128 0.745
14 H 0.867 0.623 0.245

Output
The calculation puts the energy above the most stable polymorph in this dataset at 0.0 meV per atom.

***

Here is a geometry-optimized V6NiH structure from Alexandria. Energies are from PBE.

Cell: 4.639 5.631 4.709 Å, 72.38 80.15 54.06°
Positions (direct):
1 V 0.145 0.086 0.317
2 V 0.475 0.744 0.901
3 Ni 0.500 0.500 0.500
4 V 0.855 0.914 0.683
5 V 0.086 0.322 0.743
6 H 0.000 0.000 0.000
7 V 0.914 0.678 0.257
8 V 0.525 0.256 0.099

Output
The total energy is -7.94 eV per atom.

***

Here is a geometry-optimized VNi2H2 structure from Alexandria. Energies are from PBE.

Cell: 2.650 2.651 6.428 Å, 89.98 90.00 119.99°
Positions (direct):
1 Ni 0.833 0.167 0.658
2 Ni 0.167 0.833 0.342
3 H 0.167 0.834 0.816
4 H 0.833 0.166 0.184
5 V 0.500 0.500 0.000

Output
The calculation puts the energy above the most stable polymorph in this dataset at 8.5 meV per atom.

***

Here is a geometry-optimized VNi3H2 structure from Alexandria. Energies are from PBE.

Cell: 2.580 5.867 6.873 Å, 84.79 79.18 77.30°
Site moments in Bohr magnetons follow the coordinates.
Positions (direct):
1 Ni 0.065 0.055 0.814  0.03
2 V 0.437 0.441 0.685  0.21
3 H 0.368 0.901 0.364  0.00
4 Ni 0.689 0.690 0.932  0.04
5 H 0.118 0.656 0.109  0.00
6 H 0.632 0.099 0.636  0.00
7 H 0.882 0.344 0.891  0.00
8 Ni 0.311 0.310 0.068  0.04
9 Ni 0.935 0.945 0.186  0.03
10 V 0.563 0.559 0.315  0.21
11 Ni 0.818 0.801 0.563  0.06
12 Ni 0.182 0.199 0.437  0.06

Output
The total energy is -5.64 eV per atom.

***

Here is a geometry-optimized VNi5H6 structure from Alexandria. Energies are from PBE.

Cell: 4.618 4.596 4.569 Å, 59.80 80.95 71.77°
Positions (direct):
1 Ni 0.000 0.669 0.662
2 H 0.731 0.098 0.333
3 H 0.258 0.263 0.000
4 Ni 0.500 0.840 0.321
5 Ni 0.000 0.331 0.338
6 H 0.742 0.737 0.000
7 Ni 0.500 0.500 0.000
8 H 0.731 0.431 0.667
9 H 0.269 0.569 0.333
10 H 0.269 0.902 0.667
11 Ni 0.500 0.160 0.679
12 V 0.000 0.000 0.000

Output
The total energy is -4.92 eV per atom.

***

Here is a geometry-optimized VNiH2 structure from Alexandria. Energies are from PBE.

Cell: 3.913 3.913 4.870 Å, 66.31 66.31 90.00°
Positions (direct):
1 Ni 0.000 0.000 0.000
2 V 0.500 0.500 0.000
3 V 0.250 0.750 0.500
4 Ni 0.750 0.250 0.500
5 H 0.375 0.347 0.750
6 H 0.097 0.625 0.250
7 H 0.653 0.125 0.250
8 H 0.875 0.903 0.750

Output
The calculation puts the energy above the most stable polymorph in this dataset at 91.7 meV per atom.